# CsIr2RuS

A PBEsol-optimized structure of CsIr2RuS (SCAN, Alexandria).

Cell and atoms, written as extended XYZ:
```
5
Lattice="-1.060 3.937 -2.254 1.869 -1.814 -4.047 -4.297 -1.825 -1.166" Properties=species:S:1:pos:R:3 pbc="T T T"
Ru 0.000 0.000 0.000
S -0.530 1.968 -1.127
Ir -2.149 -0.913 -0.583
Cs -1.744 0.149 -3.734
Ir 0.934 -0.907 -2.023
```

The energy relative to the elements, uncorrected is 1187.3 meV/atom. As for the crystal system: tetragonal. As for the magnetization: 0.0 μB per cell. The value obtained for the density of states at the Fermi level is 4.63 states/eV/f.u. As for the total energy: -43.71 eV/atom.



# IrOsPt3

A PBEsol-optimized structure of IrOsPt3 (SCAN, Alexandria).

Cell and atoms, written as extended XYZ:
```
5
Lattice="4.689 0.000 0.000 0.000 4.689 0.000 0.000 0.000 4.689" Properties=species:S:1:pos:R:3 pbc="T T T"
Pt 0.000 2.344 0.000
Os 2.344 2.344 2.344
Pt 2.344 0.000 0.000
Ir 0.000 0.000 0.000
Pt 0.000 0.000 2.344
```

The energy relative to the elements comes out at 2.248 eV/atom. As for the crystal system: cubic. As for the magnetization: 3.6 μB per cell. The value obtained for the density of states at the Fermi level is 7.10 states/eV/f.u. As for the total energy: -68.46 eV/atom.



# YAgSb2

A PBEsol-optimized structure of YAgSb2 (SCAN, Alexandria).

Cell and atoms, written as extended XYZ:
```
4
Lattice="5.138 0.000 0.000 2.569 4.449 0.000 2.569 1.483 4.195" Properties=species:S:1:pos:R:3 pbc="T T T"
Sb 7.706 4.449 3.146
Y 5.138 2.966 2.097
Sb 2.569 1.483 1.049
Ag 0.000 0.000 0.000
```

The energy relative to the elements, uncorrected is -310.2 meV/atom. As for the crystal system: cubic. As for the magnetization: 0.0 μB per cell. The value obtained for the density of states at the Fermi level is 3.56 states/eV/f.u. As for the total energy: -33.74 eV/atom.



# Li2FeRu

A PBEsol-optimized structure of Li2FeRu (SCAN, Alexandria).

Cell and atoms, written as extended XYZ:
```
4
Lattice="2.474 0.020 0.000 -0.213 4.480 0.000 0.000 0.000 4.520" Properties=species:S:1:pos:R:3 pbc="T T T"
Li 1.642 3.350 0.000
Li 0.619 1.150 0.000
Fe 1.237 0.010 2.260
Ru -0.107 2.240 2.260
```

The energy relative to the elements comes out at 0.127 eV/atom. The calculation puts the polymorph energy (0 for the lowest one) at 0 meV/atom. As for the crystal system: monoclinic. As for the magnetization: 2.9 μB per cell. The value obtained for the density of states at the Fermi level is 2.21 states/eV/f.u. As for the total energy: -14.31 eV/atom.



# CrIr2

A PBEsol-optimized structure of CrIr2 (SCAN, Alexandria).

Cell and atoms, written as extended XYZ:
```
12
Lattice="-2.305 -2.940 -0.310 2.445 -2.117 1.895 -5.115 5.453 8.981" Properties=species:S:1:pos:R:3 pbc="T T T"
Cr -0.474 -0.075 4.234
Ir -2.518 1.459 4.878
Ir -4.195 2.432 8.127
Ir -0.780 -2.036 2.439
Ir -4.525 0.484 6.378
Cr -2.126 0.882 7.435
Cr -0.826 0.479 1.601
Ir -3.818 1.863 10.712
Ir 1.218 -1.056 0.957
Ir -2.825 -0.500 3.086
Ir -2.457 -1.064 5.689
Cr -4.149 -0.083 8.965
```

The energy relative to the elements comes out at -0.348 eV/atom. As for the crystal system: tetragonal. As for the magnetization: 6.5 μB per cell. The value obtained for the density of states at the Fermi level is 1.81 states/eV/f.u. As for the total energy: -53.88 eV/atom.



# Ta2CoAs

A PBEsol-optimized structure of Ta2CoAs (SCAN, Alexandria).

Cell and atoms, written as extended XYZ:
```
4
Lattice="-1.973 0.379 3.914 -4.146 -1.379 0.516 -0.842 -3.592 2.397" Properties=species:S:1:pos:R:3 pbc="T T T"
Ta 0.000 0.000 0.000
Ta -5.221 -3.444 5.121
Co -1.740 -1.148 1.707
As -3.481 -2.296 3.414
```

The energy relative to the elements comes out at 0.296 eV/atom. As for the crystal system: cubic. As for the magnetization: 0.3 μB per cell. The value obtained for the density of states at the Fermi level is 4.66 states/eV/f.u. As for the total energy: -42.37 eV/atom.



# BiPd2C2

A PBEsol-optimized structure of BiPd2C2 (SCAN, Alexandria).

Cell and atoms, written as extended XYZ:
```
10
Lattice="3.974 0.000 0.000 0.000 5.998 0.000 0.000 0.000 5.998" Properties=species:S:1:pos:R:3 pbc="T T T"
Bi 0.000 2.999 2.999
C 0.000 3.468 0.469
C 0.000 5.529 3.468
Pd 1.987 3.977 5.020
Pd 1.987 2.021 0.978
C 0.000 0.469 2.530
Pd 1.987 0.978 3.977
Pd 1.987 5.020 2.021
C 0.000 2.530 5.529
Bi 0.000 0.000 0.000
```

The energy relative to the elements comes out at 1.060 eV/atom. As for the crystal system: tetragonal. As for the magnetization: 0.0 μB per cell. The value obtained for the density of states at the Fermi level is 1.41 states/eV/f.u. As for the total energy: -31.81 eV/atom.



# CoRe3Se

A PBEsol-optimized structure of CoRe3Se (SCAN, Alexandria).

Cell and atoms, written as extended XYZ:
```
5
Lattice="-3.948 -1.121 -1.579 0.465 -4.030 1.697 -1.880 1.357 3.737" Properties=species:S:1:pos:R:3 pbc="T T T"
Se -2.682 -1.897 1.927
Re -1.974 -0.560 -0.790
Re -0.940 0.678 1.868
Co 0.000 0.000 0.000
Re 0.232 -2.015 0.849
```

The energy relative to the elements, uncorrected is 2028.7 meV/atom. As for the crystal system: cubic. As for the magnetization: 0.0 μB per cell. The value obtained for the density of states at the Fermi level is 4.15 states/eV/f.u. As for the total energy: -48.11 eV/atom.



- Which of these has the highest magnetization?
  CrIr2